A plane-wave DFT calculation with PBE was carried out for an optimized crystal structure of LiInFe.

Unit cell a=4.3992 b=4.3992 c=4.3992 alpha=60.00 beta=60.00 gamma=60.00
Each line ends with the local moment (μB).
Sites, in units of the cell vectors:
Fe 0.7500 0.7500 0.7500  2.68
In 0.0000 0.0000 0.0000  -0.11
Li 0.5000 0.5000 0.5000  -0.02

Calculated values
**DFT formation energy**: 461 meV per atom
**Final energy**: -11.7 eV per cell